TcSb2Au: optimized geometry, PBE-GGA.

abc: 4.5424 4.5424 7.7939
angles: 90.00 90.00 90.00
With the nearest neighbours (Å) after each atom.
Space group I4/mmm (No. 139)
Symmetry-distinct sites (fractional):
Tc  0.0000  0.0000  0.0000 (multiplicity 2)  8 Sb 2.99, 4 Au 3.21
Sb  0.0000  0.5000  0.2500 (multiplicity 4)  4 Tc 2.99, 4 Au 2.99, 4 Sb 3.21
Au  0.0000  0.0000  0.5000 (multiplicity 2)  8 Sb 2.99, 4 Tc 3.21

**Total moment**: 1.2 μB/f.u.
**DOS at the Fermi energy**: 0.682 states/eV per atom
**Final energy**: -40.72 eV for the cell shown
**Raw formation energy**: 382 meV/atom